[1]
# Dy2MnGe3Rh4

An optimized crystal structure of Dy2MnGe3Rh4 (PBE, Alexandria).

Formation energy = -7.73 eV/f.u.

a = 4.1027 Å, b = 4.1027 Å, c = 10.5397 Å
α = 90.00°, β = 90.00°, γ = 90.00°
Fractional coordinates of all 10 atoms:
Dy1 0.0000 0.5000 0.2481
Dy2 0.5000 0.0000 0.7519
Mn1 0.0000 0.0000 0.5000
Ge1 0.0000 0.5000 0.8697
Ge2 0.5000 0.0000 0.1303
Ge3 0.5000 0.5000 0.5000
Rh1 0.0000 0.0000 0.0000
Rh2 0.0000 0.5000 0.6398
Rh3 0.5000 0.0000 0.3602
Rh4 0.5000 0.5000 0.0000



[2]
# DyMnH5

An optimized crystal structure of DyMnH5 (PBE, Alexandria).

Total DFT energy (no corrections) = -4.625 eV per atom

a = 4.4322 Å, b = 4.4322 Å, c = 3.5435 Å
α = 113.40°, β = 113.40°, γ = 65.41°
Fractional coordinates of all 7 atoms:
Dy1 0.0000 0.0000 0.0000
Mn1 0.5000 0.5000 0.5000
H1 0.0798 0.5951 0.3375
H2 0.4049 0.9202 0.6625
H3 0.5000 0.5000 0.0000
H4 0.5951 0.0798 0.3375
H5 0.9202 0.4049 0.6625



[3]
# NiBiP3

An optimized crystal structure of NiBiP3 (PBE, Alexandria).

Formation energy = 0.24 eV/f.u.
Relative energy among the computed polymorphs = 0.131 eV/atom

a = 3.1368 Å, b = 3.2301 Å, c = 10.0502 Å
α = 98.11°, β = 95.14°, γ = 99.84°
Fractional coordinates of all 5 atoms:
Ni1 0.0000 0.0000 0.0000
Bi1 0.7515 0.5944 0.3775
P1 0.3890 0.3066 0.6867
P2 0.4345 0.8793 0.8339
P3 0.6494 0.4656 0.1024



[4]
# Li4TmTl

An optimized crystal structure of Li4TmTl (PBE, Alexandria).

Formation energy = -0.53 eV/f.u.

a = 5.4948 Å, b = 5.4948 Å, c = 5.4948 Å
α = 60.00°, β = 60.00°, γ = 60.00°
Fractional coordinates of all 6 atoms:
Li1 0.1255 0.1255 0.1255
Li2 0.1255 0.1255 0.6235
Li3 0.1255 0.6235 0.1255
Li4 0.6235 0.1255 0.1255
Tm1 0.7500 0.7500 0.7500
Tl1 0.5000 0.5000 0.5000



[5]
# Ba2GaRhI

An optimized crystal structure of Ba2GaRhI (PBE, Alexandria).

Formation energy without anion corrections = -0.7667 eV/atom

a = 6.1464 Å, b = 6.1464 Å, c = 4.7984 Å
α = 90.00°, β = 90.00°, γ = 90.00°
Fractional coordinates of all 5 atoms:
Ba1 0.0000 0.5000 0.0000
Ba2 0.5000 0.0000 0.0000
Ga1 0.0000 0.0000 0.5000
Rh1 0.0000 0.0000 0.0000
I1 0.5000 0.5000 0.5000



[6]
# Zn4P2Ru

An optimized crystal structure of Zn4P2Ru (PBE, Alexandria).

Formation energy = 0.45 eV/f.u.

a = 7.0284 Å, b = 7.0284 Å, c = 4.5734 Å
α = 90.00°, β = 90.00°, γ = 90.00°
Fractional coordinates of all 14 atoms:
Zn1 0.0556 0.0556 0.2331
Zn2 0.0556 0.4444 0.2331
Zn3 0.4444 0.0556 0.2331
Zn4 0.4444 0.4444 0.2331
Zn5 0.5556 0.5556 0.7669
Zn6 0.5556 0.9444 0.7669
Zn7 0.9444 0.5556 0.7669
Zn8 0.9444 0.9444 0.7669
P1 0.2500 0.2500 0.5602
P2 0.2500 0.7500 0.5000
P3 0.7500 0.2500 0.5000
P4 0.7500 0.7500 0.4398
Ru1 0.2500 0.7500 0.0000
Ru2 0.7500 0.2500 0.0000



- Which formula does entry 1 have?
  Dy2MnGe3Rh4